(1)
VASP calculation (GGA-PBE) on a geometry-optimized Tc2GeSbN structure.

Summary:
* energy: -5.73 eV per atom
* uncorrected formation energy: 1829 meV per atom
* V: 20.51 Å³ per atom

Unit cell a=5.0585 b=5.0585 c=4.0070 alpha=90.00 beta=90.00 gamma=90.00
Space group P4/mmm (No. 123)
Asymmetric unit:
Tc1 0.0000 0.5000 0.0000
Ge1 0.0000 0.0000 0.5000
Sb1 0.5000 0.5000 0.0000
N1 0.5000 0.5000 0.5000


(2)
VASP calculation (GGA-PBE) on a geometry-optimized NdEr2Al structure.

Summary:
* energy: -4.59 eV per atom
* V: 27.24 Å³ per atom
* relative energy among the computed polymorphs: 17 meV/atom

Unit cell a=5.3063 b=6.8931 c=11.9162 alpha=90.00 beta=90.00 gamma=90.00
Space group Amm2 (No. 38)
Asymmetric unit:
Nd1 0.0000 0.2349 0.0000
Er1 0.0000 0.0000 0.7622
Er2 0.5000 0.0000 0.4141
Er3 0.5000 0.2379 0.1774
Al1 0.0000 0.0000 0.2558
Al2 0.5000 0.0000 0.9153


(3)
VASP calculation (GGA-PBE) on a geometry-optimized Ba2AlCu structure.

Summary:
* energy: -3.03 eV per atom
* V: 39.75 Å³ per atom

Unit cell a=4.5942 b=4.5942 c=26.0933 alpha=90.00 beta=90.00 gamma=120.00
Space group R3m (No. 160, hexagonal axes)
Asymmetric unit:
Ba1 0.0000 0.0000 0.0000
Ba2 0.0000 0.0000 0.1658
Al1 0.0000 0.0000 0.4162
Cu1 0.0000 0.0000 0.7495


(4)
VASP calculation (GGA-PBE) on a geometry-optimized RbAsPd structure.

Summary:
* energy: -4.01 eV per atom
* V: 28.08 Å³ per atom
* relative energy among the computed polymorphs: 29 meV/atom

Unit cell a=4.8782 b=4.7799 c=7.2331 alpha=90.00 beta=92.56 gamma=90.00
Space group P2_1/m (No. 11)
Asymmetric unit:
Rb1 0.2391 0.2500 0.3592
As1 0.1707 0.2500 0.8985
Pd1 0.3292 0.7500 0.9880


(5)
VASP calculation (GGA-PBE) on a geometry-optimized PbAu2 structure.

Summary:
* energy: -3.18 eV per atom
* V: 27.24 Å³ per atom

Unit cell a=6.8887 b=6.8887 c=6.8887 alpha=90.00 beta=90.00 gamma=90.00
Space group Pa-3 (No. 205)
Asymmetric unit:
Pb1 0.0000 0.0000 0.0000
Au1 0.1151 0.6151 0.8849


(6)
VASP calculation (GGA-PBE) on a geometry-optimized Pm2InSn2 structure.

Summary:
* energy: -4.68 eV per atom
* V: 28.61 Å³ per atom
* relative energy among the computed polymorphs: 0 meV/atom

Unit cell a=7.9358 b=7.9358 c=9.0868 alpha=90.00 beta=90.00 gamma=90.00
Space group P4/mnc (No. 128)
Asymmetric unit:
Pm1 0.1749 0.3252 0.0000
In1 0.0000 0.0000 0.2496
Sn1 0.1292 0.6292 0.2500


no.,calculated density (g/cm³)
1,6.55
2,7.71
3,3.81
4,5.26
5,12.21
6,7.45